Below is an optimized crystal structure of Ba2SnAu, with properties calculated at the PBE level.

a = 5.669 Å, b = 5.669 Å, c = 5.669 Å
α = 60.00°, β = 60.00°, γ = 60.00°
Element x y z (fractional)
Au  0.500  0.500  0.500
Ba  0.000  0.000  0.000
Ba  0.750  0.750  0.750
Sn  0.250  0.250  0.250

Properties
As for the space-group type: F-43m. Its mass density is 7.61 g cm⁻³. As for the crystal system: cubic. The uncorrected energy is -3.134 eV/atom.

Below is an optimized crystal structure of Pr2Pd2Au, with properties calculated at the PBE level.

a = 7.753 Å, b = 7.753 Å, c = 3.900 Å
α = 90.00°, β = 90.00°, γ = 90.00°
Element x y z (fractional)
Au  0.000  0.000  0.000
Au  0.500  0.500  0.000
Pd  0.627  0.127  0.000
Pd  0.127  0.373  0.000
Pd  0.873  0.627  0.000
Pd  0.373  0.873  0.000
Pr  0.323  0.177  0.500
Pr  0.823  0.323  0.500
Pr  0.177  0.677  0.500
Pr  0.677  0.823  0.500

Properties
As for the space-group type: P4/mbm. Its mass density is 9.80 g cm⁻³. As for the crystal system: tetragonal. The uncorrected energy is -5.431 eV/atom.

Below is an optimized crystal structure of HfTc2Te, with properties calculated at the PBE level.

a = 4.654 Å, b = 4.654 Å, c = 4.654 Å
α = 60.00°, β = 60.00°, γ = 60.00°
Site moments in Bohr magnetons follow the coordinates.
Element x y z (fractional)
Hf  0.250  0.250  0.250  -0.01
Tc  0.000  0.000  0.000  0.88
Tc  0.750  0.750  0.750  0.11
Te  0.500  0.500  0.500  0.03

Properties
As for the space-group type: F-43m. Its mass density is 11.70 g cm⁻³. As for the crystal system: cubic. The uncorrected energy is -8.110 eV/atom.

Below is an optimized crystal structure of NbTlCoCu, with properties calculated at the PBE level.

a = 4.427 Å, b = 4.427 Å, c = 4.427 Å
α = 60.00°, β = 60.00°, γ = 60.00°
Element x y z (fractional)
Co  0.250  0.250  0.250
Cu  0.750  0.750  0.750
Nb  0.500  0.500  0.500
Tl  0.000  0.000  0.000

Properties
As for the space-group type: F-43m. Its mass density is 11.36 g cm⁻³. As for the crystal system: cubic. As for the distance to the lowest polymorph of the same formula: 0.00 eV per formula unit. The uncorrected energy is -5.580 eV/atom.

Below is an optimized crystal structure of YFeNiP2, with properties calculated at the PBE level.

a = 5.472 Å, b = 5.472 Å, c = 5.472 Å
α = 138.81°, β = 138.81°, γ = 59.66°
Site moments in Bohr magnetons follow the coordinates.
Element x y z (fractional)
Fe  0.500  0.500  0.000  1.24
Ni  0.000  0.000  0.000  0.22
P  0.624  0.124  0.500  0.00
P  0.876  0.376  0.500  0.00
Y  0.250  0.750  0.500  0.01

Properties
As for the space-group type: I-4m2. Its mass density is 6.27 g cm⁻³. As for the crystal system: tetragonal. The uncorrected energy is -7.197 eV/atom.

Below is an optimized crystal structure of Na2Nb4O11, with properties calculated at the PBE level.

a = 6.194 Å, b = 6.248 Å, c = 12.804 Å
α = 103.96°, β = 90.00°, γ = 119.71°
Element x y z (fractional)
Na  0.668  0.823  0.000
Na  0.825  0.158  0.497
Na  0.156  0.823  0.500
Na  0.333  0.158  0.997
Nb  0.115  0.990  0.240
Nb  0.752  0.366  0.254
Nb  0.388  0.637  0.254
Nb  0.476  0.474  0.498
Nb  0.875  0.990  0.740
Nb  0.614  0.366  0.754
Nb  0.249  0.637  0.754
Nb  0.998  0.474  0.998
O  0.053  0.840  0.089
O  0.752  0.313  0.092
O  0.283  0.534  0.092
O  0.407  0.312  0.215
O  0.494  0.998  0.249
O  0.001  0.250  0.251
O  0.750  0.754  0.252
O  0.095  0.693  0.286
O  0.747  0.463  0.409
O  0.211  0.156  0.410
O  0.440  0.690  0.411
O  0.786  0.840  0.589
O  0.561  0.313  0.592
O  0.251  0.534  0.592
O  0.905  0.312  0.715
O  0.505  0.998  0.749
O  0.249  0.250  0.751
O  0.004  0.754  0.752
O  0.598  0.693  0.786
O  0.716  0.463  0.909
O  0.945  0.156  0.910
O  0.250  0.690  0.911

Properties
As for the space-group type: Cc. Its mass density is 4.77 g cm⁻³. As for the crystal system: monoclinic. The uncorrected energy is -8.193 eV/atom.

Below is an optimized crystal structure of Ba2AlCo, with properties calculated at the PBE level.

a = 5.347 Å, b = 5.347 Å, c = 5.347 Å
α = 60.00°, β = 60.00°, γ = 60.00°
Element x y z (fractional)
Al  0.500  0.500  0.500
Ba  0.000  0.000  0.000
Ba  0.750  0.750  0.750
Co  0.250  0.250  0.250

Properties
As for the space-group type: F-43m. Its mass density is 5.54 g cm⁻³. As for the crystal system: cubic. The uncorrected energy is -3.162 eV/atom.

Below is an optimized crystal structure of Na4AlZn3, with properties calculated at the PBE level.

a = 4.853 Å, b = 4.853 Å, c = 6.843 Å
α = 90.00°, β = 90.00°, γ = 90.00°
Element x y z (fractional)
Al  0.000  0.000  0.000
Na  0.500  0.500  0.000
Na  0.000  0.500  0.261
Na  0.000  0.000  0.500
Na  0.500  0.000  0.739
Zn  0.500  0.000  0.239
Zn  0.500  0.500  0.500
Zn  0.000  0.500  0.761

Properties
As for the space-group type: P-4m2. Its mass density is 3.25 g cm⁻³. As for the crystal system: tetragonal. The uncorrected energy is -1.506 eV/atom.

Below is an optimized crystal structure of PrSnPO, with properties calculated at the PBE level.

a = 4.334 Å, b = 5.777 Å, c = 6.839 Å
α = 90.00°, β = 90.00°, γ = 90.00°
Element x y z (fractional)
O  0.000  0.424  0.382
O  0.000  0.576  0.882
P  0.500  0.949  0.303
P  0.500  0.051  0.803
Pr  0.000  0.225  0.076
Pr  0.000  0.775  0.576
Sn  0.500  0.342  0.493
Sn  0.500  0.658  0.993

Properties
As for the space-group type: Pmc2_1. Its mass density is 5.95 g cm⁻³. As for the crystal system: orthorhombic. As for the distance to the lowest polymorph of the same formula: 0.05 eV per formula unit. The uncorrected energy is -6.126 eV/atom.

Below is an optimized crystal structure of InCoTcAu, with properties calculated at the PBE level.

a = 4.487 Å, b = 4.487 Å, c = 4.487 Å
α = 60.00°, β = 60.00°, γ = 60.00°
Site moments in Bohr magnetons follow the coordinates.
Element x y z (fractional)
Au  0.500  0.500  0.500  0.08
Co  0.750  0.750  0.750  1.36
In  0.000  0.000  0.000  -0.04
Tc  0.250  0.250  0.250  1.24

Properties
As for the space-group type: F-43m. Its mass density is 12.19 g cm⁻³. As for the crystal system: cubic. As for the distance to the lowest polymorph of the same formula: 0.00 eV per formula unit. The uncorrected energy is -5.479 eV/atom.

Below is an optimized crystal structure of Sr2GeIr, with properties calculated at the PBE level.

a = 4.334 Å, b = 5.978 Å, c = 5.978 Å
α = 47.10°, β = 90.00°, γ = 90.00°
Element x y z (fractional)
Ge  0.000  0.950  0.950
Ir  0.500  0.052  0.052
Sr  0.500  0.355  0.355
Sr  0.000  0.644  0.644

Properties
As for the space-group type: Amm2. Its mass density is 6.44 g cm⁻³. As for the crystal system: orthorhombic. The uncorrected energy is -4.685 eV/atom.

Below is an optimized crystal structure of ZrAs, with properties calculated at the PBE level.

a = 5.443 Å, b = 8.708 Å, c = 5.224 Å
α = 90.00°, β = 90.00°, γ = 90.00°
Element x y z (fractional)
As  0.375  0.121  0.000
As  0.875  0.713  0.000
As  0.875  0.105  0.500
As  0.375  0.376  0.500
As  0.875  0.457  0.500
As  0.375  0.728  0.500
Zr  0.875  0.039  0.000
Zr  0.126  0.416  0.000
Zr  0.626  0.417  0.000
Zr  0.375  0.795  0.000
Zr  0.375  0.049  0.500
Zr  0.875  0.784  0.500

Properties
As for the space-group type: Pmma. Its mass density is 6.69 g cm⁻³. As for the crystal system: orthorhombic. The uncorrected energy is -7.381 eV/atom.